Material: CsTcSbH2
Method: DFT, PBE
State: optimized geometry

Summary:
The energy is -4.346 eV per atom. As for the excess energy over the best structure of this formula in the dataset: 1.34 kcal/mol of atoms. Its density of states at the Fermi level is 2.36 states/eV/cell. The value obtained for the magnetization is 0.0000 μB per atom.

a = 4.423 Å, b = 4.423 Å, c = 7.391 Å
α = 107.46°, β = 107.46°, γ = 59.84°
Positions (direct):
Cs 0.000 0.000 0.000
Tc 0.494 0.494 0.483
Sb 0.820 0.820 0.461
H 0.409 0.409 0.229
H 0.579 0.579 0.739

***

Material: CsTcSbH2
Method: DFT, PBE
State: optimized geometry

Summary:
The energy is -4.170 eV per atom. As for the excess energy over the best structure of this formula in the dataset: 5.40 kcal/mol of atoms. Its density of states at the Fermi level is 1.60 states/eV/cell. The value obtained for the magnetization is 0.0000 μB per atom.

a = 4.002 Å, b = 3.419 Å, c = 7.117 Å
α = 90.00°, β = 90.25°, γ = 90.00°
Positions (direct):
Cs 0.000 0.000 0.000
Tc 0.005 0.000 0.574
Sb 0.505 0.500 0.491
H 0.005 0.000 0.349
H 0.502 0.500 0.222

***

Material: CsTcSbH2
Method: DFT, PBE
State: optimized geometry

Summary:
The energy is -4.387 eV per atom. As for the excess energy over the best structure of this formula in the dataset: 0.39 kcal/mol of atoms. Its density of states at the Fermi level is 2.84 states/eV/cell. The value obtained for the magnetization is 0.0331 μB per atom.

a = 3.418 Å, b = 4.960 Å, c = 6.691 Å
α = 98.14°, β = 90.06°, γ = 110.15°
Positions (direct):
Cs 0.000 0.000 0.000
Tc 0.650 0.304 0.533
Sb 0.362 0.727 0.490
H 0.093 0.189 0.593
H 0.686 0.374 0.784

***

Material: CsTcSbH2
Method: DFT, PBE
State: optimized geometry

Summary:
The energy is -4.241 eV per atom. As for the excess energy over the best structure of this formula in the dataset: 3.76 kcal/mol of atoms. Its density of states at the Fermi level is 2.27 states/eV/cell. The value obtained for the magnetization is 0.0000 μB per atom.

a = 7.785 Å, b = 7.785 Å, c = 7.785 Å
α = 153.30°, β = 153.30°, γ = 38.12°
Positions (direct):
Cs 0.000 0.000 0.000
Tc 0.286 0.286 0.000
Sb 0.726 0.726 0.000
H 0.401 0.401 0.000
H 0.600 0.600 0.000

***

Material: CsTcSbH2
Method: DFT, PBE
State: optimized geometry

Summary:
The energy is -4.404 eV per atom. As for the excess energy over the best structure of this formula in the dataset: 0.00 kcal/mol of atoms. Its density of states at the Fermi level is 2.84 states/eV/cell. The value obtained for the magnetization is 0.0000 μB per atom.

a = 8.167 Å, b = 8.167 Å, c = 8.167 Å
α = 156.30°, β = 156.30°, γ = 33.76°
Positions (direct):
Cs 0.000 0.000 0.000
Tc 0.707 0.707 0.000
Sb 0.303 0.303 0.000
H 0.152 0.652 0.500
H 0.652 0.152 0.500

***

Material: CsTcSbH2
Method: DFT, PBE
State: optimized geometry

Summary:
The energy is -4.362 eV per atom. As for the excess energy over the best structure of this formula in the dataset: 0.97 kcal/mol of atoms. Its density of states at the Fermi level is 2.52 states/eV/cell. The value obtained for the magnetization is 0.0698 μB per atom.

a = 3.384 Å, b = 4.948 Å, c = 7.224 Å
α = 70.82°, β = 76.50°, γ = 70.03°
Positions (direct):
Cs 0.000 0.000 0.000
Tc 0.441 0.604 0.520
Sb 0.174 0.189 0.468
H 0.364 0.511 0.766
H 0.857 0.708 0.584

***

Material: CsSb2TeH
Method: DFT, PBE
State: optimized geometry

Summary:
The energy is -1.503 eV per atom. As for the excess energy over the best structure of this formula in the dataset: 31.05 kcal/mol of atoms. Its density of states at the Fermi level is 6.78 states/eV/cell. The value obtained for the magnetization is 0.5605 μB per atom.

a = 6.637 Å, b = 6.637 Å, c = 6.719 Å
α = 90.00°, β = 90.00°, γ = 90.00°
Positions (direct):
Cs 0.000 0.000 0.000
Sb 0.000 0.500 0.000
Sb 0.500 0.000 0.000
Te 0.000 0.000 0.500
H 0.500 0.500 0.500

***

Material: CsSbTe2H
Method: DFT, PBE
State: optimized geometry

Summary:
The energy is -2.751 eV per atom. As for the excess energy over the best structure of this formula in the dataset: 0.00 kcal/mol of atoms. Its density of states at the Fermi level is 3.89 states/eV/cell. The value obtained for the magnetization is 0.0000 μB per atom.

a = 5.693 Å, b = 5.693 Å, c = 4.393 Å
α = 90.00°, β = 90.00°, γ = 90.00°
Positions (direct):
Cs 0.000 0.000 0.000
Sb 0.500 0.500 0.000
Te 0.000 0.500 0.500
Te 0.500 0.000 0.500
H 0.500 0.500 0.500

***

Material: CsSb2TeH
Method: DFT, PBE
State: optimized geometry

Summary:
The energy is -2.849 eV per atom. As for the excess energy over the best structure of this formula in the dataset: 0.00 kcal/mol of atoms. Its density of states at the Fermi level is 2.62 states/eV/cell. The value obtained for the magnetization is 0.0000 μB per atom.

a = 4.993 Å, b = 4.993 Å, c = 5.452 Å
α = 90.00°, β = 90.00°, γ = 90.00°
Positions (direct):
Cs 0.000 0.000 0.000
Sb 0.000 0.500 0.500
Sb 0.500 0.000 0.500
Te 0.500 0.500 0.000
H 0.500 0.500 0.500

***

Material: CsSbTe2H
Method: DFT, PBE
State: optimized geometry

Summary:
The energy is -1.468 eV per atom. As for the excess energy over the best structure of this formula in the dataset: 29.59 kcal/mol of atoms. Its density of states at the Fermi level is 11.13 states/eV/cell. The value obtained for the magnetization is 0.7231 μB per atom.

a = 6.935 Å, b = 6.935 Å, c = 6.635 Å
α = 90.00°, β = 90.00°, γ = 90.00°
Positions (direct):
Cs 0.000 0.000 0.000
Sb 0.000 0.000 0.500
Te 0.000 0.500 0.000
Te 0.500 0.000 0.000
H 0.500 0.500 0.500

***

Material: Cs2TlSbH
Method: DFT, PBE
State: optimized geometry

Summary:
The energy is -2.509 eV per atom. Its density of states at the Fermi level is 2.06 states/eV/cell. The value obtained for the magnetization is 0.0000 μB per atom.

a = 6.920 Å, b = 5.734 Å, c = 11.464 Å
α = 90.00°, β = 90.26°, γ = 90.00°
Positions (direct):
Cs 0.250 0.250 0.048
Cs 0.250 0.750 0.440
Cs 0.750 0.250 0.560
Cs 0.750 0.750 0.952
Tl 0.249 0.750 0.776
Tl 0.751 0.250 0.224
Sb 0.251 0.250 0.712
Sb 0.749 0.750 0.288
H 0.248 0.750 0.953
H 0.752 0.250 0.047

***

Material: CsZn2SbH2
Method: DFT, PBE
State: optimized geometry

Summary:
The energy is -2.540 eV per atom. The value obtained for the magnetization is 0.0000 μB per atom.

a = 8.150 Å, b = 5.146 Å, c = 8.338 Å
α = 90.00°, β = 119.04°, γ = 90.00°
Positions (direct):
Cs 0.166 0.250 0.335
Cs 0.834 0.750 0.665
Zn 0.330 0.000 0.998
Zn 0.330 0.500 0.998
Zn 0.670 0.000 0.002
Zn 0.670 0.500 0.002
Sb 0.367 0.750 0.728
Sb 0.633 0.250 0.272
H 0.159 0.250 0.912
H 0.243 0.750 0.083
H 0.757 0.250 0.917
H 0.841 0.750 0.088

***

Material: Cs2Zn2Sb2H
Method: DFT, PBE
State: optimized geometry

Summary:
The energy is -2.523 eV per atom. Its density of states at the Fermi level is 2.58 states/eV/cell. The value obtained for the magnetization is 0.0000 μB per atom.

a = 6.888 Å, b = 6.888 Å, c = 8.889 Å
α = 122.62°, β = 122.62°, γ = 39.66°
Positions (direct):
Cs 0.057 0.057 0.326
Cs 0.943 0.943 0.674
Zn 0.338 0.338 0.931
Zn 0.662 0.662 0.069
Sb 0.288 0.288 0.201
Sb 0.712 0.712 0.799
H 0.500 0.500 0.000

***

Material: CsZnSbH
Method: DFT, PBE
State: optimized geometry

Summary:
The energy is -2.507 eV per atom. Its density of states at the Fermi level is 2.70 states/eV/cell. The value obtained for the magnetization is 0.1552 μB per atom.

a = 4.561 Å, b = 4.561 Å, c = 6.494 Å
α = 90.00°, β = 90.00°, γ = 120.00°
Positions (direct):
Cs 0.000 0.000 0.000
Zn 0.667 0.333 0.557
Sb 0.333 0.667 0.455
H 0.667 0.333 0.811

***

Material: CsZn2SbH
Method: DFT, PBE
State: optimized geometry

Summary:
The energy is -2.238 eV per atom. Its density of states at the Fermi level is 2.49 states/eV/cell. The value obtained for the magnetization is 0.0000 μB per atom.

a = 6.907 Å, b = 6.907 Å, c = 7.530 Å
α = 90.00°, β = 90.00°, γ = 139.02°
Positions (direct):
Cs 0.062 0.938 0.750
Cs 0.938 0.062 0.250
Zn 0.352 0.648 0.563
Zn 0.352 0.648 0.937
Zn 0.648 0.352 0.063
Zn 0.648 0.352 0.437
Sb 0.218 0.782 0.250
Sb 0.782 0.218 0.750
H 0.500 0.500 0.000
H 0.500 0.500 0.500

***

Material: Cs2ScH
Method: DFT, PBE
State: optimized geometry

Summary:
The energy is -2.424 eV per atom. As for the excess energy over the best structure of this formula in the dataset: 0.00 kcal/mol of atoms. Its density of states at the Fermi level is 11.50 states/eV/cell. The value obtained for the magnetization is 0.3659 μB per atom.

a = 9.991 Å, b = 9.991 Å, c = 9.991 Å
α = 92.45°, β = 92.45°, γ = 156.12°
Positions (direct):
Cs 0.375 0.200 0.325
Cs 0.800 0.125 0.175
Cs 0.875 0.050 0.675
Cs 0.950 0.625 0.825
Sc 0.250 0.750 0.500
Sc 0.500 0.500 0.000
H 0.000 0.000 0.000
H 0.750 0.250 0.500

***

Material: Cs3ScH6
Method: DFT, PBE
State: optimized geometry

Summary:
The energy is -3.176 eV per atom. Its density of states at the Fermi level is 0.00 states/eV/cell. The value obtained for the magnetization is 0.0000 μB per atom.

a = 6.847 Å, b = 6.847 Å, c = 6.845 Å
α = 119.99°, β = 119.99°, γ = 59.99°
Positions (direct):
Cs 0.000 0.000 0.000
Cs 0.250 0.250 0.750
Cs 0.750 0.750 0.250
Sc 0.500 0.500 0.500
H 0.293 0.705 0.705
H 0.294 0.294 0.292
H 0.295 0.707 0.295
H 0.705 0.293 0.705
H 0.706 0.706 0.708
H 0.707 0.295 0.295

***

Material: Cs2ScH
Method: DFT, PBE
State: optimized geometry

Summary:
The energy is -1.917 eV per atom. As for the excess energy over the best structure of this formula in the dataset: 11.68 kcal/mol of atoms. Its density of states at the Fermi level is 61.12 states/eV/cell. The value obtained for the magnetization is 0.4793 μB per atom.

a = 6.646 Å, b = 6.646 Å, c = 6.646 Å
α = 60.00°, β = 60.00°, γ = 60.00°
Positions (direct):
Cs 0.250 0.250 0.250
Cs 0.750 0.750 0.750
Sc 0.000 0.000 0.000
H 0.500 0.500 0.500

***

Material: Cs2ScH4
Method: DFT, PBE
State: optimized geometry

Summary:
The energy is -3.286 eV per atom. Its density of states at the Fermi level is 3.83 states/eV/cell. The value obtained for the magnetization is 0.0863 μB per atom.

a = 8.382 Å, b = 8.382 Å, c = 8.382 Å
α = 150.60°, β = 150.60°, γ = 42.06°
Positions (direct):
Cs 0.154 0.154 0.000
Cs 0.846 0.846 0.000
Sc 0.500 0.500 0.000
H 0.000 0.500 0.500
H 0.369 0.369 0.000
H 0.500 0.000 0.500
H 0.631 0.631 0.000

***

Material: CsSc2VH
Method: DFT, PBE
State: optimized geometry

Summary:
The energy is -4.124 eV per atom. Its density of states at the Fermi level is 5.24 states/eV/cell. The value obtained for the magnetization is 0.1282 μB per atom.

a = 4.880 Å, b = 4.880 Å, c = 5.751 Å
α = 90.00°, β = 90.00°, γ = 90.00°
Positions (direct):
Cs 0.000 0.000 0.000
Sc 0.000 0.500 0.500
Sc 0.500 0.000 0.500
V 0.500 0.500 0.500
H 0.500 0.500 0.000

***

Material: CsH2Se5
Method: DFT, PBE
State: optimized geometry

Summary:
The energy is -3.234 eV per atom. Its density of states at the Fermi level is 5.69 states/eV/cell. The value obtained for the magnetization is 0.0000 μB per atom.

a = 3.241 Å, b = 16.018 Å, c = 8.161 Å
α = 90.00°, β = 91.72°, γ = 90.00°
Positions (direct):
Cs 0.004 0.250 0.486
Cs 0.996 0.750 0.514
H 0.481 0.077 0.134
H 0.481 0.423 0.134
H 0.519 0.577 0.866
H 0.519 0.923 0.866
Se 0.457 0.750 0.015
Se 0.470 0.628 0.173
Se 0.470 0.872 0.173
Se 0.489 0.058 0.314
Se 0.489 0.442 0.314
Se 0.511 0.558 0.686
Se 0.511 0.942 0.686
Se 0.530 0.128 0.827
Se 0.530 0.372 0.827
Se 0.543 0.250 0.985

***

Material: Cs2HSe2
Method: DFT, PBE
State: optimized geometry

Summary:
The energy is -2.971 eV per atom. As for the excess energy over the best structure of this formula in the dataset: 1.50 kcal/mol of atoms. Its density of states at the Fermi level is 3.01 states/eV/cell. The value obtained for the magnetization is 0.2096 μB per atom.

a = 7.425 Å, b = 7.425 Å, c = 7.425 Å
α = 124.11°, β = 124.11°, γ = 83.01°
Positions (direct):
Cs 0.250 0.750 0.500
Cs 0.750 0.250 0.500
H 0.000 0.000 0.000
Se 0.154 0.154 0.000
Se 0.846 0.846 0.000

***

Material: Cs12H2Se5
Method: DFT, PBE
State: optimized geometry

Summary:
The energy is -2.644 eV per atom. Its density of states at the Fermi level is 0.00 states/eV/cell. The value obtained for the magnetization is 0.0001 μB per atom.

a = 10.782 Å, b = 10.782 Å, c = 11.435 Å
α = 105.09°, β = 105.09°, γ = 49.28°
Positions (direct):
Cs 0.002 0.002 0.194
Cs 0.063 0.589 0.902
Cs 0.094 0.595 0.430
Cs 0.405 0.906 0.570
Cs 0.411 0.937 0.098
Cs 0.472 0.472 0.190
Cs 0.528 0.528 0.810
Cs 0.589 0.063 0.902
Cs 0.595 0.094 0.430
Cs 0.906 0.405 0.570
Cs 0.937 0.411 0.098
Cs 0.998 0.998 0.806
H 0.266 0.734 0.000
H 0.734 0.266 0.000
Se 0.182 0.182 0.845
Se 0.188 0.188 0.346
Se 0.500 0.500 0.500
Se 0.812 0.812 0.654
Se 0.818 0.818 0.155

***

Material: Cs2HSe2
Method: DFT, PBE
State: optimized geometry

Summary:
The energy is -3.036 eV per atom. As for the excess energy over the best structure of this formula in the dataset: 0.00 kcal/mol of atoms. Its density of states at the Fermi level is 4.41 states/eV/cell. The value obtained for the magnetization is 0.1867 μB per atom.

a = 6.163 Å, b = 6.163 Å, c = 4.500 Å
α = 90.11°, β = 90.11°, γ = 78.38°
Positions (direct):
Cs 0.235 0.235 0.000
Cs 0.765 0.765 0.000
H 0.500 0.500 0.500
Se 0.275 0.725 0.500
Se 0.725 0.275 0.500

***

Material: CsHSe
Method: DFT, PBE
State: optimized geometry

Summary:
The energy is -3.271 eV per atom. Its density of states at the Fermi level is 0.00 states/eV/cell. The value obtained for the magnetization is 0.0000 μB per atom.

a = 4.137 Å, b = 4.707 Å, c = 4.727 Å
α = 87.67°, β = 86.78°, γ = 86.03°
Positions (direct):
Cs 0.000 0.000 0.000
H 0.194 0.454 0.463
Se 0.533 0.520 0.514